a.
A plane-wave DFT calculation with PBE-GGA was carried out for CsRb4Na after structural relaxation.

N(E_F) (states/eV/cell): 8.8
Magnetization (μB/cell): 0.00

a b c (Å): 8.2596 11.0743 13.2920
angles (deg): 114.62 107.60 90.00
Closest atoms and distances in Å follow each position.
Atoms (fractional coordinates):
Cs1 0.2077 0.2070 0.4140  10 Rb 5.01-5.27
Cs2 0.7923 0.7930 0.5860  10 Rb 5.01-5.27
Rb1 0.0000 0.8025 0.0000  2 Na 4.09, 1 Rb 4.38
Rb2 0.6155 0.3406 0.2313  2 Na 4.40-4.41, 1 Rb 4.89
Rb3 0.1665 0.6670 0.3340  2 Na 4.45-4.49
Rb4 0.6155 0.8907 0.2313  2 Na 4.40-4.41, 1 Rb 4.89
Rb5 0.3845 0.6594 0.7687  2 Na 4.40-4.41, 1 Rb 4.89
Rb6 0.8335 0.3330 0.6660  2 Na 4.45-4.49
Rb7 0.0000 0.1975 0.0000  2 Na 4.09, 1 Rb 4.38
Rb8 0.3845 0.1093 0.7687  2 Na 4.40-4.41, 1 Rb 4.89
Na1 0.2845 0.5002 0.0004  1 Na 3.56
Na2 0.7155 0.4998 0.9996  1 Na 3.56



b.
A plane-wave DFT calculation with PBE-GGA was carried out for CsRb4Na after structural relaxation.

N(E_F) (states/eV/cell): 5.4
Magnetization (μB/cell): 0.00

a b c (Å): 5.1490 5.1490 19.1470
angles (deg): 90.00 90.00 90.00
Closest atoms and distances in Å follow each position.
Atoms (fractional coordinates):
Cs1 0.0000 0.0000 0.0000  4 Cs 5.15, 8 Rb 5.28
Rb1 0.0000 0.0000 0.6231  4 Na 4.34, 1 Rb 4.71
Rb2 0.5000 0.5000 0.2000  8 Rb 4.97-5.15, 4 Cs 5.28
Rb3 0.5000 0.5000 0.8000  8 Rb 4.97-5.15, 4 Cs 5.28
Rb4 0.0000 0.0000 0.3769  4 Na 4.34, 1 Rb 4.71
Na1 0.5000 0.5000 0.5000  8 Rb 4.34



b ends up most stable, edging out the next structure by 8 meV per atom.



a.
A plane-wave DFT calculation with PBE-GGA was carried out for CsRbNa3 after structural relaxation.

N(E_F) (states/eV/cell): 6.0
Magnetization (μB/cell): 0.00

a b c (Å): 7.4140 7.4140 7.4140
angles (deg): 90.00 90.00 90.00
Closest atoms and distances in Å follow each position.
Atoms (fractional coordinates):
Na1 0.0000 0.5000 0.0000  2 Cs 3.71
Na2 0.0000 0.0000 0.5000  2 Cs 3.71
Na3 0.5000 0.0000 0.0000  2 Cs 3.71
Rb1 0.5000 0.5000 0.5000  12 Na 5.24
Cs1 0.0000 0.0000 0.0000  6 Na 3.71



b.
A plane-wave DFT calculation with PBE-GGA was carried out for CsRbNa3 after structural relaxation.

N(E_F) (states/eV/cell): 2.6
Magnetization (μB/cell): 0.00

a b c (Å): 7.2444 7.2444 7.2444
angles (deg): 90.00 90.00 90.00
Closest atoms and distances in Å follow each position.
Atoms (fractional coordinates):
Na1 0.0000 0.5000 0.0000  2 Rb 3.62
Na2 0.5000 0.0000 0.0000  2 Rb 3.62
Na3 0.0000 0.0000 0.5000  2 Rb 3.62
Cs1 0.5000 0.5000 0.5000  12 Na 5.12
Rb1 0.0000 0.0000 0.0000  6 Na 3.62



b ends up most stable, edging out the next structure by 98 meV per atom.



a.
A plane-wave DFT calculation with PBE-GGA was carried out for CsRbNa3 after structural relaxation.

N(E_F) (states/eV/cell): 9.3
Magnetization (μB/cell): 0.00

a b c (Å): 8.2634 8.2634 11.2961
angles (deg): 68.55 68.55 60.00
Closest atoms and distances in Å follow each position.
Atoms (fractional coordinates):
Na1 0.8652 0.8652 0.8747  4 Na 3.60-3.89
Na2 0.3949 0.8652 0.8747  4 Na 3.60-3.89
Na3 0.1348 0.1348 0.1253  4 Na 3.60-3.89
Na4 0.6051 0.1348 0.1253  4 Na 3.60-3.89
Na5 0.8652 0.3949 0.8747  4 Na 3.60-3.89
Na6 0.1348 0.6051 0.1253  4 Na 3.60-3.89
Rb1 0.1636 0.1636 0.5091  6 Na 4.52-4.53, 3 Rb 4.77
Rb2 0.8364 0.8364 0.4909  6 Na 4.52-4.53, 3 Rb 4.77
Cs1 0.4202 0.4202 0.7395  9 Na 4.36-4.54
Cs2 0.5798 0.5798 0.2605  9 Na 4.36-4.54



b.
A plane-wave DFT calculation with PBE-GGA was carried out for CsRbNa3 after structural relaxation.

N(E_F) (states/eV/cell): 11.9
Magnetization (μB/cell): 0.00

a b c (Å): 7.6993 12.9066 12.8386
angles (deg): 101.77 90.00 90.00
Closest atoms and distances in Å follow each position.
Atoms (fractional coordinates):
Na1 0.9646 0.7135 0.9323  4 Na 3.62-4.00
Na2 0.4399 0.2616 0.8730  4 Na 3.58-4.00
Na3 0.2585 0.5108 0.0001  6 Na 3.58-3.99
Na4 0.4646 0.2865 0.5677  4 Na 3.62-4.00
Na5 0.9399 0.7384 0.6270  4 Na 3.58-4.00
Na6 0.7415 0.4892 0.9999  6 Na 3.58-3.99
Na7 0.0354 0.2865 0.0677  4 Na 3.62-4.00
Na8 0.7585 0.4892 0.4999  6 Na 3.58-3.99
Na9 0.0601 0.2616 0.3730  4 Na 3.58-4.00
Na10 0.5601 0.7384 0.1270  4 Na 3.58-4.00
Na11 0.5354 0.7135 0.4323  4 Na 3.62-4.00
Na12 0.2415 0.5108 0.5001  6 Na 3.58-3.99
Cs1 0.4628 0.6647 0.7752  7 Na 4.06-4.49
Cs2 0.5372 0.3353 0.2248  7 Na 4.06-4.49
Cs3 0.0372 0.6647 0.2752  7 Na 4.06-4.49
Cs4 0.9628 0.3353 0.7248  7 Na 4.06-4.49
Rb1 0.7677 0.0107 0.8839  4 Na 4.13-4.50
Rb2 0.2677 0.9893 0.6161  4 Na 4.13-4.50
Rb3 0.2323 0.9893 0.1161  4 Na 4.13-4.50
Rb4 0.7323 0.0107 0.3839  4 Na 4.13-4.50



a ends up most stable, edging out the next structure by 9 meV per atom.



a.
A plane-wave DFT calculation with PBE-GGA was carried out for CsRb8Na2 after structural relaxation.

N(E_F) (states/eV/cell): 9.1
Magnetization (μB/cell): 0.00

a b c (Å): 7.0524 11.5745 12.4954
angles (deg): 111.73 106.39 90.00
Closest atoms and distances in Å follow each position.
Atoms (fractional coordinates):
Cs1 0.5000 0.0000 0.0000  12 Rb 4.86-5.23
Na1 0.7773 0.3314 0.5547  7 Rb 4.32-4.49
Na2 0.2227 0.6686 0.4453  7 Rb 4.32-4.49
Rb1 0.3131 0.0720 0.6263  1 Na 4.32, 6 Rb 4.53-4.79
Rb2 0.1629 0.2500 0.3259  3 Na 4.34-4.49, 3 Rb 4.79-4.84
Rb3 0.6139 0.4811 0.2279  3 Na 4.42-4.86, 3 Rb 4.78-4.84
Rb4 0.8371 0.7500 0.6741  3 Na 4.34-4.49, 3 Rb 4.79-4.84
Rb5 0.9509 0.2753 0.9018  1 Na 4.45, 3 Rb 4.78-4.81
Rb6 0.3861 0.5189 0.7721  3 Na 4.42-4.86, 3 Rb 4.78-4.84
Rb7 0.0491 0.7247 0.0982  1 Na 4.45, 3 Rb 4.78-4.81
Rb8 0.6869 0.9280 0.3737  1 Na 4.32, 6 Rb 4.53-4.79



b.
A plane-wave DFT calculation with PBE-GGA was carried out for CsRb8Na2 after structural relaxation.

N(E_F) (states/eV/cell): 9.9
Magnetization (μB/cell): 0.00

a b c (Å): 8.0980 11.4620 11.4620
angles (deg): 112.51 99.02 99.02
Closest atoms and distances in Å follow each position.
Atoms (fractional coordinates):
Rb1 0.9063 0.6700 0.9267  2 Na 4.23-4.30
Rb2 0.5000 0.2534 0.7466  2 Na 4.21
Rb3 0.0937 0.3300 0.0733  2 Na 4.23-4.30
Rb4 0.3008 0.6006 0.6006  2 Na 4.30, 1 Rb 4.65
Rb5 0.9063 0.9267 0.6700  2 Na 4.23-4.30
Rb6 0.5000 0.7466 0.2534  2 Na 4.21
Rb7 0.0937 0.0733 0.3300  2 Na 4.23-4.30
Rb8 0.6992 0.3994 0.3994  2 Na 4.30, 1 Rb 4.65
Cs1 0.5000 0.0000 0.0000  12 Rb 4.83-5.36
Na1 0.0000 0.3131 0.6869  8 Rb 4.21-4.30
Na2 0.0000 0.6869 0.3131  8 Rb 4.21-4.30



a ends up most stable, edging out the next structure by 16 meV per atom.



a.
A plane-wave DFT calculation with PBE-GGA was carried out for Cs2RbNaS after structural relaxation.

N(E_F) (states/eV/cell): 2.9
Magnetization (μB/cell): 0.00

a b c (Å): 7.2458 7.2458 5.5412
angles (deg): 90.00 90.00 90.00
Closest atoms and distances in Å follow each position.
Atoms (fractional coordinates):
Na1 0.0000 0.0000 0.5000  2 S 2.77
Cs1 0.5000 0.0000 0.0000  2 S 3.62
Cs2 0.0000 0.5000 0.0000  2 S 3.62
S1 0.0000 0.0000 0.0000  2 Na 2.77
Rb1 0.5000 0.5000 0.5000  8 Cs 4.56



b.
A plane-wave DFT calculation with PBE-GGA was carried out for Cs2RbNaS after structural relaxation.

N(E_F) (states/eV/cell): 0.5
Magnetization (μB/cell): 0.00

a b c (Å): 6.8922 6.8922 6.5255
angles (deg): 90.00 90.00 90.00
Closest atoms and distances in Å follow each position.
Atoms (fractional coordinates):
Cs1 0.0000 0.5000 0.0000  2 S 3.45
Cs2 0.5000 0.0000 0.0000  2 S 3.45
Na1 0.5000 0.5000 0.5000  8 Cs 4.75, 4 Rb 4.87
Rb1 0.0000 0.0000 0.5000  2 S 3.26
S1 0.0000 0.0000 0.0000  2 Rb 3.26, 4 Cs 3.45



b ends up most stable, edging out the next structure by 66 meV per atom.



a.
A plane-wave DFT calculation with PBE-GGA was carried out for CsRbNa2Te after structural relaxation.

N(E_F) (states/eV/cell): 2.9
Magnetization (μB/cell): 0.00

a b c (Å): 6.2785 6.2785 7.4713
angles (deg): 90.00 90.00 90.00
Closest atoms and distances in Å follow each position.
Atoms (fractional coordinates):
Cs1 0.0000 0.0000 0.5000  2 Te 3.74
Te1 0.0000 0.0000 0.0000  4 Na 3.14
Na1 0.5000 0.0000 0.0000  2 Te 3.14
Na2 0.0000 0.5000 0.0000  2 Te 3.14
Rb1 0.5000 0.5000 0.5000  4 Cs 4.44, 8 Na 4.88



b.
A plane-wave DFT calculation with PBE-GGA was carried out for CsRbNa2Te after structural relaxation.

N(E_F) (states/eV/cell): 3.2
Magnetization (μB/cell): 0.00

a b c (Å): 6.3273 6.3273 7.1834
angles (deg): 90.00 90.00 90.00
Closest atoms and distances in Å follow each position.
Atoms (fractional coordinates):
Rb1 0.0000 0.0000 0.5000  2 Te 3.59
Cs1 0.5000 0.5000 0.5000  4 Rb 4.47, 8 Na 4.79
Na1 0.0000 0.5000 0.0000  2 Te 3.16
Na2 0.5000 0.0000 0.0000  2 Te 3.16
Te1 0.0000 0.0000 0.0000  4 Na 3.16



a ends up most stable, edging out the next structure by 8 meV per atom.